No. 1
First-principles (GGA-PBE) data for LaSc2Si after structural relaxation, as listed in Alexandria.

Cell and atoms, written as CIF:
```
data_LaSc2Si
_space_group_name_H-M_alt 'P 1'
_space_group_IT_number 1
_cell_length_a 3.730
_cell_length_b 3.730
_cell_length_c 7.059
_cell_angle_alpha 90.00
_cell_angle_beta 90.00
_cell_angle_gamma 90.00
loop_
_space_group_symop_operation_xyz
'x,y,z'
loop_
_atom_site_label
_atom_site_type_symbol
_atom_site_fract_x
_atom_site_fract_y
_atom_site_fract_z
La1 La 0.500 0.500 0.717
Sc1 Sc 0.000 0.000 0.048
Sc2 Sc 0.500 0.500 0.294
Si1 Si 0.000 0.000 0.441
```

Properties
**Uncorrected formation energy**: -0.254 eV/atom
**Space-group type**: No. 99
**VASP energy**: -6.007 eV/atom



No. 2
First-principles (GGA-PBE) data for NaNi3Os after structural relaxation, as listed in Alexandria.

Cell and atoms, written as CIF:
```
data_NaNi3Os
_space_group_name_H-M_alt 'P 1'
_space_group_IT_number 1
_cell_length_a 4.574
_cell_length_b 4.574
_cell_length_c 4.574
_cell_angle_alpha 90.00
_cell_angle_beta 90.00
_cell_angle_gamma 90.00
loop_
_space_group_symop_operation_xyz
'x,y,z'
loop_
_atom_site_label
_atom_site_type_symbol
_atom_site_fract_x
_atom_site_fract_y
_atom_site_fract_z
Ni1 Ni 0.000 0.500 0.000
Ni2 Ni 0.000 0.000 0.500
Ni3 Ni 0.500 0.000 0.000
Os1 Os 0.000 0.000 0.000
Na1 Na 0.500 0.500 0.500
```

Properties
**Formation enthalpy at 0 K**: 1.03 eV per atom
**Relative energy among the computed polymorphs**: 0 meV per atom
**Space-group type**: No. 221
**VASP energy**: -4.949 eV/atom



No. 3
First-principles (GGA-PBE) data for Sb2AsPd8 after structural relaxation, as listed in Alexandria.

Cell and atoms, written as CIF:
```
data_Sb2AsPd8
_space_group_name_H-M_alt 'P 1'
_space_group_IT_number 1
_cell_length_a 4.357
_cell_length_b 6.307
_cell_length_c 7.596
_cell_angle_alpha 110.97
_cell_angle_beta 106.66
_cell_angle_gamma 90.00
loop_
_space_group_symop_operation_xyz
'x,y,z'
loop_
_atom_site_label
_atom_site_type_symbol
_atom_site_fract_x
_atom_site_fract_y
_atom_site_fract_z
Sb1 Sb 0.822 0.325 0.645
Sb2 Sb 0.178 0.675 0.355
As1 As 0.500 0.000 0.000
Pd1 Pd 0.407 0.572 0.815
Pd2 Pd 0.661 0.938 0.323
Pd3 Pd 0.809 0.731 0.617
Pd4 Pd 0.977 0.201 0.954
Pd5 Pd 0.191 0.269 0.383
Pd6 Pd 0.339 0.062 0.677
Pd7 Pd 0.593 0.428 0.185
Pd8 Pd 0.023 0.799 0.046
```

Properties
**Uncorrected formation energy**: -0.396 eV/atom
**Space-group type**: No. 12
**VASP energy**: -5.345 eV/atom



No. 4
First-principles (GGA-PBE) data for BaCr2Ni after structural relaxation, as listed in Alexandria.

Cell and atoms, written as CIF:
```
data_BaCr2Ni
_space_group_name_H-M_alt 'P 1'
_space_group_IT_number 1
_cell_length_a 4.275
_cell_length_b 4.275
_cell_length_c 6.380
_cell_angle_alpha 70.41
_cell_angle_beta 70.41
_cell_angle_gamma 60.00
loop_
_space_group_symop_operation_xyz
'x,y,z'
loop_
_atom_site_label
_atom_site_type_symbol
_atom_site_fract_x
_atom_site_fract_y
_atom_site_fract_z
Ba1 Ba 0.752 0.752 0.745
Cr1 Cr 0.944 0.944 0.167
Cr2 Cr 0.242 0.242 0.274
Ni1 Ni 0.562 0.562 0.315
```

Properties
**Formation enthalpy at 0 K**: 0.45 eV per atom
**Relative energy among the computed polymorphs**: 0 meV per atom
**Space-group type**: No. 160
**VASP energy**: -6.284 eV/atom



No. 5
First-principles (GGA-PBE) data for Al4OsS2 after structural relaxation, as listed in Alexandria.

Cell and atoms, written as CIF:
```
data_Al4OsS2
_space_group_name_H-M_alt 'P 1'
_space_group_IT_number 1
_cell_length_a 4.684
_cell_length_b 4.684
_cell_length_c 7.895
_cell_angle_alpha 72.75
_cell_angle_beta 72.75
_cell_angle_gamma 90.00
loop_
_space_group_symop_operation_xyz
'x,y,z'
loop_
_atom_site_label
_atom_site_type_symbol
_atom_site_fract_x
_atom_site_fract_y
_atom_site_fract_z
S1 S 0.679 0.679 0.643
S2 S 0.321 0.321 0.357
Os1 Os 0.000 0.000 0.000
Al1 Al 0.831 0.831 0.338
Al2 Al 0.169 0.169 0.662
Al3 Al 0.000 0.500 0.000
Al4 Al 0.500 0.000 0.000
```

Properties
**Uncorrected formation energy**: -0.074 eV/atom
**Space-group type**: No. 139
**VASP energy**: -4.996 eV/atom



No. 6
First-principles (GGA-PBE) data for Pu2Co3Ru after structural relaxation, as listed in Alexandria.

Cell and atoms, written as CIF:
```
data_Pu2Co3Ru
_space_group_name_H-M_alt 'P 1'
_space_group_IT_number 1
_cell_length_a 5.009
_cell_length_b 5.009
_cell_length_c 5.170
_cell_angle_alpha 90.11
_cell_angle_beta 119.01
_cell_angle_gamma 119.84
loop_
_space_group_symop_operation_xyz
'x,y,z'
loop_
_atom_site_label
_atom_site_type_symbol
_atom_site_fract_x
_atom_site_fract_y
_atom_site_fract_z
Pu1 Pu 0.751 0.376 0.127
Pu2 Pu 0.249 0.624 0.873
Co1 Co 0.500 0.500 0.500
Co2 Co 0.000 0.000 0.500
Co3 Co 0.500 0.000 0.500
Ru1 Ru 0.000 0.000 0.000
```

Properties
**Formation enthalpy at 0 K**: -0.16 eV per atom
**Space-group type**: No. 12
**VASP energy**: -10.032 eV/atom



Q: The lowest VASP energy belongs to which entry?
A: Pu2Co3Ru



Q: Among the records above, which one has the lowest VASP energy?
A: Pu2Co3Ru



Repeat the third record exactly.
First-principles (GGA-PBE) data for Sb2AsPd8 after structural relaxation, as listed in Alexandria.

Cell and atoms, written as CIF:
```
data_Sb2AsPd8
_space_group_name_H-M_alt 'P 1'
_space_group_IT_number 1
_cell_length_a 4.357
_cell_length_b 6.307
_cell_length_c 7.596
_cell_angle_alpha 110.97
_cell_angle_beta 106.66
_cell_angle_gamma 90.00
loop_
_space_group_symop_operation_xyz
'x,y,z'
loop_
_atom_site_label
_atom_site_type_symbol
_atom_site_fract_x
_atom_site_fract_y
_atom_site_fract_z
Sb1 Sb 0.822 0.325 0.645
Sb2 Sb 0.178 0.675 0.355
As1 As 0.500 0.000 0.000
Pd1 Pd 0.407 0.572 0.815
Pd2 Pd 0.661 0.938 0.323
Pd3 Pd 0.809 0.731 0.617
Pd4 Pd 0.977 0.201 0.954
Pd5 Pd 0.191 0.269 0.383
Pd6 Pd 0.339 0.062 0.677
Pd7 Pd 0.593 0.428 0.185
Pd8 Pd 0.023 0.799 0.046
```

Properties
**Uncorrected formation energy**: -0.396 eV/atom
**Space-group type**: No. 12
**VASP energy**: -5.345 eV/atom